## CsTe2IrAuS (GGA-PBE)

Data for a relaxed CsTe2IrAuS crystal.

The value obtained for the calculated total energy is -97.23 eV/cell. The density is 7431 kg/m3.

The space group is Cmcm (No. 63) and the conventional cell measures 4.0764, 17.2162 and 10.3078 Å, with angles of 90.00, 90.00 and 90.00 degrees. Symmetry generates all atoms from Cs at (0.0000, 0.2371, 0.2500), Te at (0.0000, 0.3970, 0.5061), Ir at (0.0000, 0.0000, 0.0000), Au at (0.0000, 0.4489, 0.7500) and S at (0.0000, 0.0403, 0.7500).

=====

## Ta11Al2 (GGA-PBE)

Data for a relaxed Ta11Al2 crystal.

The value obtained for the energy relative to the lowest polymorph listed for this composition is 6.45 kJ per mole of atoms. The density is 13786 kg/m3.

The space group is R-3m (No. 166, hexagonal axes) and the conventional cell measures 5.5483, 5.5483 and 27.7118 Å, with angles of 90.00, 90.00 and 120.00 degrees. Symmetry generates all atoms from Ta at (0.0000, 0.0000, 0.0000), Ta at (0.0000, 0.0000, 0.3516), Ta at (0.0000, 0.0000, 0.4500), Ta at (0.0062, 0.5031, 0.4119) and Al at (0.0000, 0.0000, 0.1660).

=====

## BaTbAuSeS2 (GGA-PBE)

Data for a relaxed BaTbAuSeS2 crystal.

The value obtained for the calculated total energy is -123.22 eV/cell. The density is 6757 kg/m3.

The space group is Cmcm (No. 63) and the conventional cell measures 4.1579, 14.0977 and 10.6710 Å, with angles of 90.00, 90.00 and 90.00 degrees. Symmetry generates all atoms from Ba at (0.0000, 0.2419, 0.2500), Tb at (0.0000, 0.0000, 0.0000), Au at (0.0000, 0.4602, 0.7500), Se at (0.0000, 0.0830, 0.7500) and S at (0.0000, 0.3692, 0.5512).

=====

## AcTbHg (GGA-PBE)

Data for a relaxed AcTbHg crystal.

The formation energy is -77.4 meV per atom. The value obtained for the energy relative to the lowest polymorph listed for this composition is 23.70 kJ per mole of atoms. The density is 8990 kg/m3.

The space group is F-43m (No. 216) and the conventional cell measures 7.5674, 7.5674 and 7.5674 Å, with angles of 90.00, 90.00 and 90.00 degrees. Symmetry generates all atoms from Ac at (0.0000, 0.0000, 0.0000), Tb at (0.0000, 0.0000, 0.5000) and Hg at (0.2500, 0.2500, 0.2500).

=====

Calculated values (μB per formula unit) of total magnetization for the records, taken in order: 0.0, 0.0, 0.0, 0.1.